# Ti12Zn3Sb PBE optimized geometry
# Formation energy without anion corrections (meV per atom): -175
data_Ti12Zn3Sb
_symmetry_space_group_name_H-M 'P 1'
_symmetry_Int_Tables_number 1
_cell_length_a 5.092
_cell_length_b 5.104
_cell_length_c 10.208
_cell_angle_alpha 90.00
_cell_angle_beta 90.00
_cell_angle_gamma 90.00
loop_
_symmetry_equiv_pos_as_xyz
'x,y,z'
loop_
_atom_site_label
_atom_site_type_symbol
_atom_site_fract_x
_atom_site_fract_y
_atom_site_fract_z
Ti1 Ti 0.500 0.000 0.369
Ti2 Ti 0.500 0.000 0.878
Ti3 Ti 0.750 0.500 0.000
Ti4 Ti 0.742 0.500 0.500
Ti5 Ti 0.000 0.748 0.244
Ti6 Ti 0.000 0.748 0.756
Ti7 Ti 0.500 0.000 0.122
Ti8 Ti 0.500 0.000 0.631
Ti9 Ti 0.250 0.500 0.000
Ti10 Ti 0.258 0.500 0.500
Ti11 Ti 0.000 0.252 0.244
Ti12 Ti 0.000 0.252 0.756
Zn1 Zn 0.500 0.500 0.250
Zn2 Zn 0.500 0.500 0.750
Zn3 Zn 0.000 0.000 0.000
Sb1 Sb 0.000 0.000 0.500